(1)
This record from Alexandria describes a relaxed structure of Cs2ZrGe. The functional is GGA-PBE.

Computed properties:
Its energy above the most stable polymorph in this dataset is 0 meV per atom. The value obtained for the formation energy is 0.55 eV per atom. The calculated volume comes out at 534.0 Å³ per cell. As for the space group: I-42d, No. 122. Its total moment is 3.56 μB/cell.

The structure in POSCAR format:
```
Cs2ZrGe
1.0
-1.4210 -7.2784 7.2965
2.8188 9.6196 -2.7840
-10.1683 1.9801 -0.9576
Cs Zr Ge
4 2 2
Direct
0.6250 0.3046 0.1796
0.5546 0.3750 0.6796
0.6954 0.8750 0.3204
0.1250 0.4454 0.8204
0.0000 0.0000 0.0000
0.2500 0.7500 0.5000
0.5000 0.5000 0.0000
0.7500 0.2500 0.5000
```

(2)
This record from Alexandria describes a relaxed structure of AcTcC. The functional is GGA-PBE.

Computed properties:
Its energy above the most stable polymorph in this dataset is 127 meV per atom. The value obtained for the formation energy is 0.13 eV per atom. The calculated volume comes out at 129.2 Å³ per cell. As for the space group: P4/nmm, No. 129. Its total moment is 0.00 μB/cell.

The structure in POSCAR format:
```
AcTcC
1.0
-0.6066 -3.7660 -0.2258
1.9462 -0.1160 -3.2867
7.4854 -1.4761 4.4818
Tc Ac C
2 2 2
Direct
0.8136 0.3665 0.9196
0.3136 0.8665 0.9196
0.3135 0.3664 0.2230
0.8137 0.8666 0.6162
0.3136 0.3665 0.8138
0.8136 0.8665 0.0255
```

(3)
This record from Alexandria describes a relaxed structure of YCuOs3. The functional is GGA-PBE.

Computed properties:
Its energy above the most stable polymorph in this dataset is 1809 meV per atom. The value obtained for the formation energy is 3.12 eV per atom. The calculated volume comes out at 116.6 Å³ per cell. As for the space group: Pm-3m, No. 221. Its total moment is 3.63 μB/cell.

The structure in POSCAR format:
```
YCuOs3
1.0
-0.5345 -4.8004 0.7287
3.9059 0.0104 2.9332
-2.8841 0.9037 3.8374
Os Y Cu
3 1 1
Direct
0.0000 0.0000 0.5000
0.0000 0.5000 0.0000
0.5000 0.0000 0.0000
0.0000 0.0000 0.0000
0.5000 0.5000 0.5000
```

(4)
This record from Alexandria describes a relaxed structure of Pr3Dy2ErSe6. The functional is GGA-PBE.

Computed properties:
The calculated total energy is -5.88 eV per atom. The calculated volume comes out at 306.5 Å³ per cell. As for the space group: C2/m, No. 12. Its total moment is 0.00 μB/cell.

The structure in POSCAR format:
```
Pr3Dy2ErSe6
1.0
-3.4105 -5.8715 2.1885
6.9372 -0.2760 -1.6417
0.4407 3.5814 6.4224
Pr Er Se Dy
3 1 6 2
Direct
0.8317 0.1683 0.5000
0.1683 0.8317 0.5000
0.5000 0.5000 0.5000
0.0000 0.0000 0.0000
0.4075 0.0768 0.2307
0.0768 0.4075 0.2307
0.2536 0.2536 0.7680
0.9232 0.5925 0.7693
0.5925 0.9232 0.7693
0.7464 0.7464 0.2320
0.3332 0.6668 0.0000
0.6668 0.3332 0.0000
```

(5)
This record from Alexandria describes a relaxed structure of HfCo4B4. The functional is GGA-PBE.

Computed properties:
The value obtained for the formation energy is -0.51 eV per atom. The calculated volume comes out at 166.8 Å³ per cell. As for the space group: P4_2/nmc, No. 137. Its total moment is 0.00 μB/cell.

The structure in POSCAR format:
```
HfCo4B4
1.0
4.9311 0.0000 0.0000
0.0000 4.9311 0.0000
0.0000 0.0000 6.8583
Co Hf B
8 2 8
Direct
0.7499 0.5000 0.8603
0.5000 0.2501 0.1397
0.7501 0.0000 0.6397
0.0000 0.2499 0.3603
0.5000 0.7499 0.1397
0.2501 0.5000 0.8603
0.2499 0.0000 0.6397
0.0000 0.7501 0.3603
0.0000 0.0000 0.0000
0.5000 0.5000 0.5000
0.0000 0.3241 0.6567
0.5000 0.8241 0.8433
0.8241 0.5000 0.1567
0.1759 0.5000 0.1567
0.0000 0.6759 0.6567
0.6759 0.0000 0.3433
0.5000 0.1759 0.8433
0.3241 0.0000 0.3433
```

(6)
This record from Alexandria describes a relaxed structure of Ca5TmZn6. The functional is GGA-PBE.

Computed properties:
The value obtained for the formation energy is -0.26 eV per atom. The calculated volume comes out at 290.7 Å³ per cell. As for the space group: Cmmm, No. 65. Its total moment is 0.00 μB/cell.

The structure in POSCAR format:
```
Ca5TmZn6
1.0
4.8818 -0.0292 1.6269
0.0394 7.3305 0.0131
0.0046 -0.0146 8.1241
Ca Zn Tm
5 6 1
Direct
0.6675 0.0000 0.6651
0.3326 0.5000 0.3348
0.3325 0.0000 0.3349
0.0000 0.5000 0.0000
0.6674 0.5000 0.6652
0.8390 0.2419 0.3221
0.5000 0.2335 0.0000
0.1610 0.7581 0.6779
0.8389 0.7581 0.3221
0.5000 0.7665 0.0000
0.1611 0.2419 0.6779
0.0000 0.0000 0.0000
```

(7)
This record from Alexandria describes a relaxed structure of MgZnSe2. The functional is GGA-PBE.

Computed properties:
The calculated total energy is -2.44 eV per atom. The calculated volume comes out at 81.1 Å³ per cell. As for the space group: F-43m, No. 216. Its total moment is 0.00 μB/cell.

The structure in POSCAR format:
```
MgZnSe2
1.0
4.8576 0.0000 0.0000
2.4288 4.2068 0.0000
2.4288 1.4023 3.9662
Zn Mg Se
1 1 2
Direct
0.7500 0.7500 0.7500
0.5000 0.5000 0.5000
0.2500 0.2500 0.2500
0.0000 0.0000 0.0000
```

(8)
This record from Alexandria describes a relaxed structure of Tb15Er4Tm. The functional is GGA-PBE.

Computed properties:
The value obtained for the formation energy is 0.02 eV per atom. The calculated volume comes out at 631.6 Å³ per cell. As for the space group: P4/mmm, No. 123. Its total moment is 0.00 μB/cell.

The structure in POSCAR format:
```
Tb15Er4Tm
1.0
5.0191 0.0000 0.0000
0.0000 5.0191 0.0000
0.0000 0.0000 25.0736
Tb Er Tm
15 4 1
Direct
0.5000 0.5000 0.6000
0.0000 0.5000 0.9002
0.0000 0.5000 0.0998
0.5000 0.0000 0.0998
0.5000 0.0000 0.9002
0.0000 0.5000 0.5000
0.5000 0.5000 0.0000
0.5000 0.5000 0.4000
0.0000 0.5000 0.7000
0.5000 0.5000 0.1999
0.5000 0.0000 0.3000
0.5000 0.5000 0.8001
0.5000 0.0000 0.7000
0.0000 0.5000 0.3000
0.5000 0.0000 0.5000
0.0000 0.0000 0.6000
0.0000 0.0000 0.4000
0.0000 0.0000 0.8001
0.0000 0.0000 0.1999
0.0000 0.0000 0.0000
```

(9)
This record from Alexandria describes a relaxed structure of DyScCoRu. The functional is GGA-PBE.

Computed properties:
The value obtained for the formation energy is -0.33 eV per atom. The calculated volume comes out at 69.9 Å³ per cell. As for the space group: F-43m, No. 216. Its total moment is 0.00 μB/cell.

The structure in POSCAR format:
```
DyScCoRu
1.0
-4.6193 -0.1671 0.1151
-2.1734 -4.0726 -0.2644
-2.1597 -1.7132 3.7122
Dy Ru Co Sc
1 1 1 1
Direct
0.2500 0.2500 0.2500
0.0000 0.0000 0.0000
0.5000 0.5000 0.5000
0.7500 0.7500 0.7500
```

(10)
This record from Alexandria describes a relaxed structure of TlInCl3. The functional is GGA-PBE.

Computed properties:
The calculated total energy is -3.12 eV per atom. The calculated volume comes out at 338.7 Å³ per cell. As for the space group: P1, No. 1. Its total moment is 0.00 μB/cell.

The structure in POSCAR format:
```
TlInCl3
1.0
4.3353 -0.0037 -0.5621
0.1289 8.7614 1.5996
-0.7860 3.6176 9.6860
Tl Cl In
2 6 2
Direct
0.7023 0.6694 0.1429
0.9008 0.2316 0.5966
0.8994 0.6890 0.4828
0.4397 0.9010 0.6410
0.2972 0.3936 0.3558
0.1721 0.9652 0.0945
0.0838 0.5520 0.9436
0.5030 0.3534 0.7874
0.7168 0.6324 0.7058
0.7082 0.1342 0.1607
```

(11)
This record from Alexandria describes a relaxed structure of La2TbYTl2. The functional is GGA-PBE.

Computed properties:
The value obtained for the formation energy is -0.30 eV per atom. The calculated volume comes out at 368.9 Å³ per cell. As for the space group: Pmc2_1, No. 26. Its total moment is 0.00 μB/cell.

The structure in POSCAR format:
```
La2TbYTl2
1.0
5.1198 0.0000 0.0000
0.0000 6.9707 0.0000
0.0000 0.0000 10.3357
Y Tl Tb La
2 4 2 4
Direct
0.0000 0.4563 0.5421
0.0000 0.9563 0.4579
0.0000 0.2993 0.8514
0.0000 0.7993 0.1486
0.5000 0.7174 0.6112
0.5000 0.2174 0.3888
0.5000 0.1694 0.6926
0.5000 0.6694 0.3074
0.5000 0.0926 0.0604
0.0000 0.8107 0.8215
0.0000 0.3107 0.1785
0.5000 0.5926 0.9396
```

(12)
This record from Alexandria describes a relaxed structure of RbIn2Ag. The functional is GGA-PBE.

Computed properties:
The value obtained for the formation energy is -0.06 eV per atom. The calculated volume comes out at 139.8 Å³ per cell. As for the space group: R3m, No. 160. Its total moment is 0.00 μB/cell.

The structure in POSCAR format:
```
RbIn2Ag
1.0
4.9241 0.0000 0.0000
2.4620 4.2644 0.0000
2.4620 1.4215 6.6561
In Ag Rb
2 1 1
Direct
0.2979 0.2979 0.1064
0.0239 0.0239 0.9284
0.6819 0.6819 0.9544
0.4964 0.4964 0.5108
```